Entry 1:
Compound: La2ScTc
Source: the Alexandria database
Functional: PBE
Structure: relaxed

* SG: Cmm2 (35)
* energy of formation: 0.045 eV per atom
* crystal system: orthorhombic
* energy: -6.593 eV/atom

Cell: 3.459 3.459 8.856 Å, 90.00 90.00 90.17°
Fractional positions:
La (0.000, 0.000, 0.000)
La (0.500, 0.500, 0.339)
Sc (0.000, 0.000, 0.635)
Tc (0.500, 0.500, 0.799)

=====

Entry 2:
Compound: TaTl2Rh
Source: the Alexandria database
Functional: PBE
Structure: relaxed

* SG: I-4m2 (119)
* energy of formation: 0.498 eV per atom
* crystal system: tetragonal
* energy: -5.486 eV/atom

Cell: 5.344 5.344 5.344 Å, 133.60 133.60 67.72°
Fractional positions:
Ta (0.000, 0.000, 0.000)
Tl (0.250, 0.750, 0.500)
Tl (0.500, 0.500, 0.000)
Rh (0.750, 0.250, 0.500)

=====

Q: The lowest energy belongs to which entry?
A: La2ScTc